(1)
# La4Er3Tm, relaxed, DFT PBE
data_La4Er3Tm
_cell_length_a 5.133
_cell_length_b 10.267
_cell_length_c 10.215
_cell_angle_alpha 90.00
_cell_angle_beta 90.00
_cell_angle_gamma 90.00
_symmetry_space_group_name_H-M 'P m m n'
_symmetry_Int_Tables_number 59
loop_
_symmetry_equiv_pos_as_xyz
'x,y,z'
'-x,-y,-z'
'-x+1/2,-y+1/2,z'
'x+1/2,y+1/2,-z'
'x+1/2,-y,-z'
'-x+1/2,y,z'
'-x,y+1/2,-z'
'x,-y+1/2,z'
loop_
_atom_site_label
_atom_site_fract_x
_atom_site_fract_y
_atom_site_fract_z
_atom_site_occupancy
La1 0.250 0.000 0.128 1
La2 0.250 0.250 0.872 1
La3 0.250 0.750 0.872 1
Er1 0.250 0.000 0.615 1
Er2 0.250 0.250 0.385 1
Tm1 0.250 0.750 0.385 1
# - DOS(E_F): 1.656 states/eV per atom
# - DFT total energy: -4.6997 eV per atom
# - Formation energy: 34 meV per atom

***

(2)
# LaEr7Tm4, relaxed, DFT PBE
data_LaEr7Tm4
_cell_length_a 12.010
_cell_length_b 5.824
_cell_length_c 12.469
_cell_angle_alpha 90.00
_cell_angle_beta 117.83
_cell_angle_gamma 90.00
_symmetry_space_group_name_H-M 'C 1 2/m 1'
_symmetry_Int_Tables_number 12
_symmetry_space_group_name_Hall '-C 2y'
loop_
_atom_site_label
_atom_site_fract_x
_atom_site_fract_y
_atom_site_fract_z
_atom_site_occupancy
La1 0.000 0.000 0.000 1
Er1 0.000 0.500 0.000 1
Er2 0.054 0.000 0.340 1
Er3 0.137 0.500 0.508 1
Er4 0.211 0.000 0.922 1
Tm1 0.126 0.500 0.774 1
Tm2 0.241 0.500 0.312 1
# - Energy above the lowest structure with this stoichiometry: 283 meV per atom
# - DOS(E_F): 1.776 states/eV per atom
# - DFT total energy: -4.2774 eV per atom
# - Formation energy: 285 meV per atom

***

(3)
# La3ErTm, relaxed, DFT PBE
data_La3ErTm
_cell_length_a 3.594
_cell_length_b 17.662
_cell_length_c 11.104
_cell_angle_alpha 90.00
_cell_angle_beta 90.00
_cell_angle_gamma 90.00
_symmetry_space_group_name_H-M 'P b c m'
_symmetry_Int_Tables_number 57
_symmetry_space_group_name_Hall '-P 2c 2b'
loop_
_atom_site_label
_atom_site_fract_x
_atom_site_fract_y
_atom_site_fract_z
_atom_site_occupancy
La1 0.244 0.250 0.000 1
La2 0.254 0.575 0.057 1
Er1 0.258 0.727 0.250 1
Tm1 0.241 0.103 0.750 1
# - Energy above the lowest structure with this stoichiometry: 92 meV per atom
# - DOS(E_F): 1.537 states/eV per atom
# - DFT total energy: -4.6037 eV per atom
# - Formation energy: 160 meV per atom

***

(4)
# LaEr2Tm, relaxed, DFT PBE
data_LaEr2Tm
_cell_length_a 5.037
_cell_length_b 5.037
_cell_length_c 5.065
_cell_angle_alpha 90.00
_cell_angle_beta 90.00
_cell_angle_gamma 90.00
_symmetry_space_group_name_H-M 'P 4/m m m'
_symmetry_Int_Tables_number 123
_symmetry_space_group_name_Hall '-P 4 2'
loop_
_atom_site_label
_atom_site_fract_x
_atom_site_fract_y
_atom_site_fract_z
_atom_site_occupancy
La1 0.000 0.000 0.000 1
Er1 0.000 0.500 0.500 1
Tm1 0.500 0.500 0.000 1
# - Energy above the lowest structure with this stoichiometry: 30 meV per atom
# - DOS(E_F): 1.721 states/eV per atom
# - DFT total energy: -4.5912 eV per atom
# - Formation energy: 40 meV per atom

***

(5)
# LaEr7Tm3, relaxed, DFT PBE
data_LaEr7Tm3
_cell_length_a 6.874
_cell_length_b 5.503
_cell_length_c 9.785
_cell_angle_alpha 90.00
_cell_angle_beta 108.54
_cell_angle_gamma 90.00
_symmetry_space_group_name_H-M 'P 1 2/m 1'
_symmetry_Int_Tables_number 10
_symmetry_space_group_name_Hall '-P 2y'
loop_
_atom_site_label
_atom_site_fract_x
_atom_site_fract_y
_atom_site_fract_z
_atom_site_occupancy
La1 0.000 0.000 0.000 1
Er1 0.000 0.000 0.500 1
Er2 0.149 0.500 0.789 1
Er3 0.328 0.500 0.143 1
Er4 0.433 0.000 0.333 1
Tm1 0.274 0.500 0.492 1
Tm2 0.500 0.000 0.000 1
# - Energy above the lowest structure with this stoichiometry: 0 meV per atom
# - DOS(E_F): 1.606 states/eV per atom
# - DFT total energy: -4.4195 eV per atom
# - Formation energy: 152 meV per atom

***

(6)
# La8ErTm5, relaxed, DFT PBE
data_La8ErTm5
_cell_length_a 8.466
_cell_length_b 8.729
_cell_length_c 8.811
_cell_angle_alpha 117.29
_cell_angle_beta 114.27
_cell_angle_gamma 96.19
_symmetry_space_group_name_H-M 'P 1'
_symmetry_Int_Tables_number 1
_symmetry_space_group_name_Hall 'P 1'
loop_
_atom_site_label
_atom_site_fract_x
_atom_site_fract_y
_atom_site_fract_z
_atom_site_occupancy
La1 0.000 0.000 0.000 1
La2 0.059 0.216 0.479 1
La3 0.212 0.853 0.290 1
La4 0.377 0.359 0.977 1
La5 0.536 0.974 0.814 1
La6 0.669 0.530 0.674 1
La7 0.821 0.449 0.292 1
La8 0.881 0.292 0.809 1
Er1 0.060 0.905 0.612 1
Tm1 0.210 0.670 0.837 1
Tm2 0.252 0.502 0.371 1
Tm3 0.511 0.102 0.245 1
Tm4 0.614 0.788 0.436 1
Tm5 0.722 0.770 0.119 1
# - DOS(E_F): 1.432 states/eV per atom
# - DFT total energy: -4.5854 eV per atom
# - Formation energy: 153 meV per atom